Entry 1:
The following is a PBE-GGA calculation of Sm2TiCuS5 after structural relaxation, from Alexandria via LeMat-Bulk.

```
data_Sm2TiCuS5
_chemical_formula_sum 'Sm8 Ti4 Cu4 S20'
_symmetry_space_group_name_H-M 'C m c 21'
_symmetry_Int_Tables_number 36
_cell_length_a 3.7796
_cell_length_b 16.4335
_cell_length_c 11.2570
_cell_angle_alpha 90.00
_cell_angle_beta 90.00
_cell_angle_gamma 90.00
loop_
_symmetry_equiv_pos_as_xyz
'x,y,z'
'-x,-y,z+1/2'
'-x,y,z'
'x,-y,z+1/2'
'x+1/2,y+1/2,z'
'-x+1/2,-y+1/2,z+1/2'
'-x+1/2,y+1/2,z'
'x+1/2,-y+1/2,z+1/2'
loop_
_atom_site_label
_atom_site_fract_x
_atom_site_fract_y
_atom_site_fract_z
Sm1 0.0000 0.1156 0.0000
Sm2 0.0000 0.1276 0.6155
Ti1 0.0000 0.1911 0.3191
Cu1 0.0000 0.4325 0.7519
S1 0.0000 0.0512 0.3602
S2 0.0000 0.2890 0.9696
S3 0.0000 0.3044 0.6666
S4 0.0000 0.3492 0.3114
S5 0.0000 0.4976 0.0794
```

Formation energy (no corrections) = -1.55 eV per atom

Entry 2:
The following is a PBE-GGA calculation of CeNdPd6 after structural relaxation, from Alexandria via LeMat-Bulk.

```
data_CeNdPd6
_chemical_formula_sum 'Ce1 Nd1 Pd6'
_symmetry_space_group_name_H-M 'P 4/m m m'
_symmetry_Int_Tables_number 123
_symmetry_space_group_name_Hall '-P 4 2'
_cell_length_a 4.1737
_cell_length_b 4.1737
_cell_length_c 8.3438
_cell_angle_alpha 90.00
_cell_angle_beta 90.00
_cell_angle_gamma 90.00
loop_
_atom_site_label
_atom_site_fract_x
_atom_site_fract_y
_atom_site_fract_z
Ce1 0.0000 0.0000 0.0000
Nd1 0.0000 0.0000 0.5000
Pd1 0.0000 0.5000 0.2424
Pd2 0.5000 0.5000 0.0000
Pd3 0.5000 0.5000 0.5000
```

Formation energy = -0.8212 eV per atom

Entry 3:
The following is a PBE-GGA calculation of MnAsBr2 after structural relaxation, from Alexandria via LeMat-Bulk.

```
data_MnAsBr2
_chemical_formula_sum 'Mn2 As2 Br4'
_symmetry_space_group_name_H-M 'I m m 2'
_symmetry_Int_Tables_number 44
_cell_length_a 3.5167
_cell_length_b 5.2235
_cell_length_c 13.8667
_cell_angle_alpha 90.00
_cell_angle_beta 90.00
_cell_angle_gamma 90.00
loop_
_symmetry_equiv_pos_as_xyz
'x,y,z'
'-x,-y,z'
'-x,y,z'
'x,-y,z'
'x+1/2,y+1/2,z+1/2'
'-x+1/2,-y+1/2,z+1/2'
'-x+1/2,y+1/2,z+1/2'
'x+1/2,-y+1/2,z+1/2'
loop_
_atom_site_label
_atom_site_fract_x
_atom_site_fract_y
_atom_site_fract_z
Mn1 0.0000 0.0000 0.0000
As1 0.0000 0.5000 0.3687
Br1 0.0000 0.0000 0.4213
Br2 0.0000 0.5000 0.6299
```

Formation energy (no corrections) = -0.21 eV per atom
Polymorph energy (0 for the lowest one) = 0.05 eV/f.u.